# Na2MnCoF8, optimized geometry, DFT GGA+U
data_Na2MnCoF8
_cell_length_a 5.000
_cell_length_b 6.390
_cell_length_c 5.007
_cell_angle_alpha 90.00
_cell_angle_beta 92.68
_cell_angle_gamma 90.00
_space_group_name_H-M_alt 'P 1 2/m 1'
_space_group_IT_number 10
loop_
_space_group_symop_operation_xyz
'x,y,z'
'-x,-y,-z'
'-x,y,-z'
'x,-y,z'
loop_
_atom_site_label
_atom_site_type_symbol
_atom_site_fract_x
_atom_site_fract_y
_atom_site_fract_z
Na1 Na 0.000 0.248 0.000
Mn1 Mn 0.500 0.500 0.500
Co1 Co 0.500 0.000 0.500
F1 F 0.234 0.500 0.232
F2 F 0.237 0.000 0.234
F3 F 0.323 0.245 0.675
# Theoretical density: 3.24 Mg/m³
# Crystal system: monoclinic
# VASP energy: -59.35 eV/cell